A relaxed BeHgAs3 crystal. Source: Alexandria, functional PBE.

Summary:
**Polymorph energy (0 for the lowest one)**: 0 meV per atom
**Crystal system**: cubic
**M_tot**: 0.000 μB per formula unit
**Calculated total energy**: -3.06 eV/atom
**Energy of formation**: 540 meV/atom
**SG**: No. 221

abc: 4.6013 4.6013 4.6013
angles: 90.00 90.00 90.00
Fractional positions:
As1 0.0000 0.0000 0.5000
Be1 0.0000 0.0000 0.0000
As2 0.0000 0.5000 0.0000
Hg1 0.5000 0.5000 0.5000
As3 0.5000 0.0000 0.0000